Compound: NdNpAl2Ga5
Source: the Alexandria database
Functional: PBE
Structure: optimized geometry

Properties
For the formation energy from the elements, the calculation gives -233 meV/atom. The density is 7.143 g/cm³. Its total magnetization is 0.455 μB per atom.

a b c (Å): 4.265 4.265 10.019
angles (deg): 90.00 90.00 90.00
Fractional positions:
Nd 0.000 0.000 0.500
Np 0.000 0.000 0.000
Al 0.500 0.500 0.121
Al 0.500 0.500 0.879
Ga 0.000 0.500 0.270
Ga 0.500 0.000 0.270
Ga 0.000 0.500 0.730
Ga 0.500 0.000 0.730
Ga 0.500 0.500 0.500